Record 1
An optimized crystal structure of Os3SBr, computed with PBE.

Summary:
N(E_F) ... 2.163 states/eV per atom

Geometry as POSCAR:
```
Os3SBr
1.0
4.4355 0.0000 0.0000
0.0000 4.4355 0.0000
0.0000 0.0000 4.4355
Os S Br
3 1 1
direct
0.0000 0.0000 0.5000
0.5000 0.0000 0.0000
0.0000 0.5000 0.0000
0.0000 0.0000 0.0000
0.5000 0.5000 0.5000
```

Record 2
An optimized crystal structure of OsSBr2, computed with PBE.

Summary:
N(E_F) ... 0.927 states/eV per atom

Geometry as POSCAR:
```
OsSBr2
1.0
9.6943 0.0000 0.0000
0.0000 9.6943 0.0000
4.8472 4.8472 2.1872
Br Os S
4 2 2
direct
0.3750 0.2253 0.7500
0.9753 0.6250 0.2500
0.7747 0.1250 0.2500
0.8750 0.0247 0.7500
0.7500 0.2500 0.5000
0.0000 0.0000 0.0000
0.2500 0.7500 0.5000
0.5000 0.5000 0.0000
```

Record 3
An optimized crystal structure of OsSBr2, computed with PBE.

Summary:
N(E_F) ... 0.991 states/eV per atom

Geometry as POSCAR:
```
OsSBr2
1.0
1.6875 0.0000 11.7351
-0.8438 1.4614 11.7351
-0.8438 -1.4614 11.7351
Os S Br
1 1 2
direct
0.0000 0.0000 0.0000
0.5000 0.5000 0.5000
0.9324 0.9324 0.9324
0.0676 0.0676 0.0676
```

Record 4
An optimized crystal structure of Sm6Os2SBr3, computed with PBE.

Summary:
N(E_F) ... 0.779 states/eV per atom

Geometry as POSCAR:
```
Sm6Os2SBr3
1.0
-0.7091 -2.4110 6.7044
3.7182 -3.7993 -4.7964
5.3333 5.7492 1.3591
Sm S Os Br
6 1 2 3
direct
0.2829 0.2829 0.8044
0.5878 0.9352 0.8033
0.9352 0.5878 0.8033
0.7171 0.7171 0.1956
0.0648 0.4122 0.1967
0.4122 0.0648 0.1967
0.0000 0.0000 0.0000
0.3329 0.6671 0.0000
0.6671 0.3329 0.0000
0.5000 0.5000 0.5000
0.1637 0.8363 0.5000
0.8363 0.1637 0.5000
```

Record 5
An optimized crystal structure of Th6Os3S2Br, computed with PBE.

Summary:
N(E_F) ... 0.548 states/eV per atom

Geometry as POSCAR:
```
Th6Os3S2Br
1.0
-3.0275 -2.1307 -1.8170
5.8969 -4.2562 -4.8344
0.2279 -3.8520 8.8172
Th Os Br S
6 3 1 2
direct
0.0059 0.7178 0.0118
0.6616 0.5997 0.3232
0.3199 0.9322 0.6399
0.3384 0.4003 0.6768
0.9941 0.2822 0.9882
0.6801 0.0678 0.3601
0.1654 0.8312 0.3307
0.8346 0.1688 0.6693
0.5000 0.5000 0.0000
0.5000 0.0000 0.0000
0.1658 0.3310 0.3315
0.8342 0.6690 0.6685
```

Record 6
An optimized crystal structure of Sb2OsBr, computed with PBE.

Summary:
N(E_F) ... 0.809 states/eV per atom

Geometry as POSCAR:
```
Sb2OsBr
1.0
3.3456 0.0000 0.0000
0.0000 5.1501 0.0000
0.0000 0.0000 4.9633
Os Br Sb
1 1 2
direct
0.0000 0.5000 0.5000
0.5000 0.0000 0.5000
0.5000 0.5000 0.0000
0.0000 0.0000 0.0000
```

Record 7
An optimized crystal structure of Sb2OsBr, computed with PBE.

Summary:
N(E_F) ... 0.579 states/eV per atom

Geometry as POSCAR:
```
Sb2OsBr
1.0
-1.5897 -1.1004 -6.4418
0.5509 -5.6629 -3.5864
-2.3649 3.5925 5.1707
Br Os Sb
1 1 2
direct
0.7500 0.2500 0.5000
0.2500 0.7500 0.5000
0.4338 0.4338 0.0000
0.0662 0.0662 0.0000
```

Record 8
An optimized crystal structure of Sb2OsBr, computed with PBE.

Summary:
N(E_F) ... 0.521 states/eV per atom

Geometry as POSCAR:
```
Sb2OsBr
1.0
8.0353 -0.0552 -0.0331
7.1201 3.7247 -0.0331
7.1201 1.7240 3.3019
Br Sb Os
1 2 1
direct
0.2500 0.2500 0.2500
0.4789 0.4789 0.4789
0.0211 0.0211 0.0211
0.7500 0.7500 0.7500
```

Record 9
An optimized crystal structure of Sb2OsBr, computed with PBE.

Summary:
N(E_F) ... 0.356 states/eV per atom

Geometry as POSCAR:
```
Sb2OsBr
1.0
-1.0851 -1.0232 3.5938
0.6863 -5.2760 -1.2950
4.7816 -2.5730 0.7112
Os Sb Br
1 2 1
direct
0.5000 0.7591 0.7590
0.5000 0.2337 0.2337
0.0000 0.9377 0.9376
0.0000 0.5695 0.5697
```

Record 10
An optimized crystal structure of Sb2OsBr, computed with PBE.

Summary:
N(E_F) ... 0.854 states/eV per atom

Geometry as POSCAR:
```
Sb2OsBr
1.0
-0.4691 -4.6147 -2.2893
-0.4724 -2.2437 4.6367
-3.1510 0.3868 -0.1339
Sb Br Os
2 1 1
direct
0.0000 0.0000 0.0000
0.5000 0.5000 0.0000
0.5000 0.0000 0.5000
0.0000 0.5000 0.5000
```

Record 11
An optimized crystal structure of Sb2OsBr2, computed with PBE.

Summary:
N(E_F) ... 0.510 states/eV per atom

Geometry as POSCAR:
```
Sb2OsBr2
1.0
-3.4691 -0.9653 -0.8724
1.0729 -3.5278 -0.3628
-3.3176 -3.9519 9.6977
Br Os Sb
2 1 2
direct
0.7500 0.2500 0.5000
0.2500 0.7500 0.5000
0.0000 0.0000 0.0000
0.5679 0.5679 0.8643
0.4321 0.4321 0.1357
```

Record 12
An optimized crystal structure of SbOsBr3, computed with PBE.

Summary:
N(E_F) ... 0.672 states/eV per atom

Geometry as POSCAR:
```
SbOsBr3
1.0
-1.6566 -3.4950 -3.2369
1.0917 -3.6144 3.3439
-4.6369 0.3977 1.9436
Os Br Sb
1 3 1
direct
0.0000 0.0000 0.0000
0.0000 0.5000 0.0000
0.5000 0.0000 0.0000
0.0000 0.0000 0.5000
0.5000 0.5000 0.5000
```

Number 1: total moment 0.00 μB per atom, uncorrected formation energy 1.75 eV per atom. Number 2: total moment 0.00 μB per atom, uncorrected formation energy 0.31 eV per atom. Number 3: total moment 0.00 μB per atom, uncorrected formation energy 0.84 eV per atom. Number 4: total moment 0.00 μB per atom, uncorrected formation energy -1.03 eV per atom. Number 5: total moment 0.00 μB per atom, uncorrected formation energy -0.95 eV per atom. Number 6: total moment 0.00 μB per atom, uncorrected formation energy 1.01 eV per atom. Number 7: total moment 0.00 μB per atom, uncorrected formation energy 0.54 eV per atom. Number 8: total moment 0.00 μB per atom, uncorrected formation energy 0.14 eV per atom. Number 9: total moment 0.00 μB per atom, uncorrected formation energy 0.30 eV per atom. Number 10: total moment 0.00 μB per atom, uncorrected formation energy 0.83 eV per atom. Number 11: total moment 0.20 μB per atom, uncorrected formation energy 0.66 eV per atom. Number 12: total moment 0.00 μB per atom, uncorrected formation energy 0.69 eV per atom.